[1]
Compound: CuBi4Au5
Source: Alexandria via LeMat-Bulk
Functional: PBE
Structure: relaxed

Output
- Calculated volume: 23.31 A^3/atom
- Total energy: -36.11 eV for the cell shown
- DFT formation energy: -0.01 eV/atom

Cell: 6.899 6.899 6.899 Å, 101.18 101.18 127.74°
Atoms (fractional coordinates):
Cu 0.000 0.000 0.000
Bi 0.068 0.828 0.355
Bi 0.473 0.713 0.645
Bi 0.713 0.068 0.240
Bi 0.828 0.473 0.760
Au 0.014 0.179 0.685
Au 0.179 0.494 0.165
Au 0.329 0.014 0.835
Au 0.494 0.329 0.315
Au 0.552 0.552 0.000



[2]
Compound: CuBiAu
Source: Alexandria via LeMat-Bulk
Functional: PBE
Structure: relaxed

Output
- Calculated volume: 21.61 A^3/atom
- Total energy: -11.07 eV for the cell shown
- DFT formation energy: 0.06 eV/atom

Cell: 4.509 4.509 4.509 Å, 60.00 60.00 60.00°
Atoms (fractional coordinates):
Cu 0.000 0.000 0.000
Bi 0.750 0.750 0.750
Au 0.250 0.250 0.250



[3]
Compound: CuBiAu4
Source: Alexandria via LeMat-Bulk
Functional: PBE
Structure: relaxed

Output
- Calculated volume: 21.64 A^3/atom
- Total energy: -20.60 eV for the cell shown
- DFT formation energy: 0.08 eV/atom

Cell: 4.030 4.030 7.992 Å, 90.00 90.00 90.00°
Atoms (fractional coordinates):
Cu 0.000 0.000 0.000
Bi 0.500 0.500 0.500
Au 0.000 0.500 0.212
Au 0.000 0.500 0.788
Au 0.500 0.000 0.212
Au 0.500 0.000 0.788



[4]
Compound: CuBiAu2
Source: Alexandria via LeMat-Bulk
Functional: PBE
Structure: relaxed

Output
- Calculated volume: 19.72 A^3/atom
- Total energy: -14.36 eV for the cell shown
- DFT formation energy: 0.04 eV/atom

Cell: 3.298 3.298 7.253 Å, 90.00 90.00 90.00°
Atoms (fractional coordinates):
Cu 0.000 0.000 0.000
Bi 0.000 0.000 0.500
Au 0.500 0.500 0.196
Au 0.500 0.500 0.804



[5]
Compound: Cu2BiAu2
Source: Alexandria via LeMat-Bulk
Functional: PBE
Structure: relaxed

Output
- Calculated volume: 19.15 A^3/atom
- Total energy: -18.14 eV for the cell shown
- DFT formation energy: 0.10 eV/atom

Cell: 7.300 7.300 7.300 Å, 150.22 150.22 42.62°
Atoms (fractional coordinates):
Cu 0.250 0.750 0.500
Cu 0.750 0.250 0.500
Bi 0.000 0.000 0.000
Au 0.387 0.387 0.000
Au 0.613 0.613 0.000



[6]
Compound: CuBiAu4
Source: Alexandria via LeMat-Bulk
Functional: PBE
Structure: relaxed

Output
- Calculated volume: 20.44 A^3/atom
- Total energy: -20.08 eV for the cell shown
- DFT formation energy: 0.17 eV/atom

Cell: 5.576 5.576 5.576 Å, 60.00 60.00 60.00°
Atoms (fractional coordinates):
Cu 0.000 0.000 0.000
Bi 0.250 0.250 0.250
Au 0.124 0.625 0.625
Au 0.625 0.124 0.625
Au 0.625 0.625 0.124
Au 0.625 0.625 0.625



[7]
Compound: Cu2BiAu2
Source: Alexandria via LeMat-Bulk
Functional: PBE
Structure: relaxed

Output
- Calculated volume: 18.89 A^3/atom
- Total energy: -18.09 eV for the cell shown
- DFT formation energy: 0.11 eV/atom

Cell: 6.565 6.565 6.565 Å, 144.61 144.61 50.92°
Atoms (fractional coordinates):
Cu 0.101 0.101 0.000
Cu 0.899 0.899 0.000
Bi 0.500 0.500 0.000
Au 0.250 0.750 0.500
Au 0.750 0.250 0.500



[8]
Compound: Cu2BiAu2
Source: Alexandria via LeMat-Bulk
Functional: PBE
Structure: relaxed

Output
- Calculated volume: 17.99 A^3/atom
- Total energy: -36.87 eV for the cell shown
- DFT formation energy: 0.04 eV/atom

Cell: 7.566 7.566 3.142 Å, 90.00 90.00 90.00°
Atoms (fractional coordinates):
Cu 0.123 0.377 0.000
Cu 0.377 0.877 0.000
Cu 0.623 0.123 0.000
Cu 0.877 0.623 0.000
Bi 0.000 0.000 0.000
Bi 0.500 0.500 0.000
Au 0.167 0.667 0.500
Au 0.333 0.167 0.500
Au 0.667 0.833 0.500
Au 0.833 0.333 0.500



What did the second record say?
Compound: CuBiAu
Source: Alexandria via LeMat-Bulk
Functional: PBE
Structure: relaxed

Output
- Calculated volume: 21.61 A^3/atom
- Total energy: -11.07 eV for the cell shown
- DFT formation energy: 0.06 eV/atom

Cell: 4.509 4.509 4.509 Å, 60.00 60.00 60.00°
Atoms (fractional coordinates):
Cu 0.000 0.000 0.000
Bi 0.750 0.750 0.750
Au 0.250 0.250 0.250